[1]
Below is a relaxed structure of Cu2Bi2Sb, with properties calculated at the PBE level.

Values from the calculation:
Crystal system: tetragonal
Polymorph energy (0 for the lowest one): 0.000 eV/f.u.

Cell: 7.245 7.245 4.323 Å, 90.00 90.00 90.00°
Space group P4/mbm (No. 127)
Asymmetric unit:
1 Cu 0.122 0.378 0.000 (multiplicity 4)
2 Bi 0.170 0.670 0.500 (multiplicity 4)
3 Sb 0.000 0.000 0.000 (multiplicity 2)



[2]
Below is a relaxed structure of CuBiSb, with properties calculated at the PBE level.

Values from the calculation:
Crystal system: tetragonal
Polymorph energy (0 for the lowest one): 0.259 eV/f.u.

Cell: 3.453 3.453 12.253 Å, 90.00 90.00 90.00°
Space group I4mm (No. 107)
Asymmetric unit:
1 Cu 0.000 0.000 0.000 (multiplicity 2)
2 Bi 0.000 0.000 0.353 (multiplicity 2)
3 Sb 0.000 0.000 0.612 (multiplicity 2)



[3]
Below is a relaxed structure of Cu2Bi2Sb, with properties calculated at the PBE level.

Values from the calculation:
Crystal system: tetragonal
Polymorph energy (0 for the lowest one): 0.530 eV/f.u.

Cell: 8.580 8.580 3.254 Å, 90.00 90.00 90.00°
Space group P4/mbm (No. 127)
Asymmetric unit:
1 Cu 0.103 0.397 0.000 (multiplicity 4)
2 Bi 0.185 0.685 0.500 (multiplicity 4)
3 Sb 0.000 0.000 0.500 (multiplicity 2)



[4]
Below is a relaxed structure of Cu2Bi2Sb, with properties calculated at the PBE level.

Values from the calculation:
Crystal system: tetragonal
Polymorph energy (0 for the lowest one): 0.036 eV/f.u.

Cell: 3.465 3.465 19.805 Å, 90.00 90.00 90.00°
Space group I4/mmm (No. 139)
Asymmetric unit:
1 Cu 0.000 0.500 0.250 (multiplicity 4)
2 Bi 0.000 0.000 0.133 (multiplicity 4)
3 Sb 0.000 0.000 0.500 (multiplicity 2)



[5]
Below is a relaxed structure of CuBiSb, with properties calculated at the PBE level.

Values from the calculation:
Crystal system: tetragonal
Polymorph energy (0 for the lowest one): 0.375 eV/f.u.

Cell: 6.191 6.191 8.303 Å, 90.00 90.00 90.00°
Space group P4_12_12 (No. 92)
Asymmetric unit:
1 Cu 0.051 0.051 0.000 (multiplicity 4)
2 Bi 0.234 0.766 0.750 (multiplicity 4)
3 Sb 0.162 0.838 0.250 (multiplicity 4)



[6]
Below is a relaxed structure of Cu2BiSb, with properties calculated at the PBE level.

Values from the calculation:
Crystal system: tetragonal

Cell: 7.342 7.342 6.461 Å, 90.00 90.00 90.00°
Space group I-42d (No. 122)
Asymmetric unit:
1 Cu 0.232 0.250 0.125 (multiplicity 8)
2 Bi 0.000 0.000 0.500 (multiplicity 4)
3 Sb 0.000 0.000 0.000 (multiplicity 4)



[7]
Below is a relaxed structure of Cu2BiSb2, with properties calculated at the PBE level.

Values from the calculation:
Crystal system: tetragonal
Polymorph energy (0 for the lowest one): 0.456 eV/f.u.

Cell: 4.375 4.375 11.752 Å, 90.00 90.00 90.00°
Space group I4/mmm (No. 139)
Asymmetric unit:
1 Cu 0.000 0.000 0.103 (multiplicity 4)
2 Bi 0.000 0.000 0.500 (multiplicity 2)
3 Sb 0.000 0.500 0.250 (multiplicity 4)



[8]
Below is a relaxed structure of CuBiSb3, with properties calculated at the PBE level.

Values from the calculation:
Crystal system: cubic
Polymorph energy (0 for the lowest one): 0.000 eV/f.u.

Cell: 5.153 5.153 5.153 Å, 90.00 90.00 90.00°
Space group Pm-3m (No. 221)
Asymmetric unit:
1 Cu 0.000 0.000 0.000 (multiplicity 1)
2 Bi 0.500 0.500 0.500 (multiplicity 1)
3 Sb 0.000 0.000 0.500 (multiplicity 3)



[9]
Below is a relaxed structure of Cu2BiSb2, with properties calculated at the PBE level.

Values from the calculation:
Crystal system: tetragonal
Polymorph energy (0 for the lowest one): 0.184 eV/f.u.

Cell: 7.705 7.705 3.618 Å, 90.00 90.00 90.00°
Space group P4/mbm (No. 127)
Asymmetric unit:
1 Cu 0.118 0.382 0.000 (multiplicity 4)
2 Bi 0.000 0.000 0.000 (multiplicity 2)
3 Sb 0.167 0.667 0.500 (multiplicity 4)



[10]
Below is a relaxed structure of CuBiSb3, with properties calculated at the PBE level.

Values from the calculation:
Crystal system: cubic
Polymorph energy (0 for the lowest one): 4.656 eV/f.u.

Cell: 5.821 5.821 5.821 Å, 90.00 90.00 90.00°
Space group Pm-3m (No. 221)
Asymmetric unit:
1 Cu 0.000 0.000 0.000 (multiplicity 1)
2 Bi 0.500 0.500 0.500 (multiplicity 1)
3 Sb 0.000 0.500 0.500 (multiplicity 3)



[11]
Below is a relaxed structure of Cu2BiSb2, with properties calculated at the PBE level.

Values from the calculation:
Crystal system: tetragonal
Polymorph energy (0 for the lowest one): 0.000 eV/f.u.

Cell: 3.702 3.702 16.561 Å, 90.00 90.00 90.00°
Space group I4/mmm (No. 139)
Asymmetric unit:
1 Cu 0.000 0.500 0.250 (multiplicity 4)
2 Bi 0.000 0.000 0.000 (multiplicity 2)
3 Sb 0.000 0.000 0.368 (multiplicity 4)



[12]
Below is a relaxed structure of CuSi2BiSb, with properties calculated at the PBE level.

Values from the calculation:
Crystal system: tetragonal

Cell: 4.554 4.554 5.608 Å, 90.00 90.00 90.00°
Space group P4/mmm (No. 123)
Asymmetric unit:
1 Cu 0.000 0.000 0.000 (multiplicity 1)
2 Si 0.000 0.500 0.000 (multiplicity 2)
3 Bi 0.000 0.000 0.500 (multiplicity 1)
4 Sb 0.500 0.500 0.500 (multiplicity 1)



no.,formation energy without anion corrections (meV/atom),Fermi-level density of states (states/eV/atom)
1,211.8,0.682
2,195.6,0.488
3,317.7,0.545
4,219.1,0.559
5,234.3,0.424
6,327.3,0.734
7,260.1,0.556
8,376.9,0.865
9,205.7,0.514
10,1308.0,1.448
11,168.9,0.624
12,567.9,0.629